P | PBE YGaCoAg, relaxed; space-group type = F-43m (216)
1.0
0.000 3.318 3.318
3.318 0.000 3.318
3.318 3.318 0.000
Y Ga Co Ag
1 1 1 1
Direct
0.000 0.000 0.000 Y
0.250 0.250 0.250 Ga
0.500 0.500 0.500 Co
0.750 0.750 0.750 Ag

***

Q | PBE YGaCoAg, relaxed; space-group type = F-43m (216)
1.0
0.000 3.292 3.292
3.292 0.000 3.292
3.292 3.292 0.000
Y Ga Co Ag
1 1 1 1
Direct
0.000 0.000 0.000 Y
0.500 0.500 0.500 Ga
0.750 0.750 0.750 Co
0.250 0.250 0.250 Ag

***

Quick one: least stable of them? P